No. 1
Entry from the Alexandria database: a geometry-optimized NpAs3Rh5 structure (GGA-PBE).

Calculated values
E_tot, eV per atom: -7.47

```
data_NpAs3Rh5
_chemical_formula_sum 'Np2 As6 Rh10'
_symmetry_space_group_name_H-M 'P 1'
_symmetry_Int_Tables_number 1
_cell_length_a 6.763
_cell_length_b 6.763
_cell_length_c 12.651
_cell_angle_alpha 90.00
_cell_angle_beta 90.00
_cell_angle_gamma 146.95
loop_
_symmetry_equiv_pos_as_xyz
'x,y,z'
loop_
_atom_site_label
_atom_site_type_symbol
_atom_site_fract_x
_atom_site_fract_y
_atom_site_fract_z
Np1 Np 0.110 0.890 0.750
Np2 Np 0.890 0.110 0.250
As1 As 0.129 0.871 0.250
As2 As 0.380 0.620 0.041
As3 As 0.380 0.620 0.459
As4 As 0.620 0.380 0.541
As5 As 0.620 0.380 0.959
As6 As 0.871 0.129 0.750
Rh1 Rh 0.000 0.000 0.000
Rh2 Rh 0.000 0.000 0.500
Rh3 Rh 0.202 0.798 0.072
Rh4 Rh 0.202 0.798 0.428
Rh5 Rh 0.453 0.547 0.645
Rh6 Rh 0.453 0.547 0.855
Rh7 Rh 0.547 0.453 0.145
Rh8 Rh 0.547 0.453 0.355
Rh9 Rh 0.798 0.202 0.572
Rh10 Rh 0.798 0.202 0.928
```

---

No. 2
Entry from the Alexandria database: a geometry-optimized SmCo3B3 structure (GGA-PBE).

Calculated values
Excess energy over the best structure of this formula in the dataset, meV per atom: 0.0

```
data_SmCo3B3
_chemical_formula_sum 'Sm4 Co12 B12'
_symmetry_space_group_name_H-M 'P 1'
_symmetry_Int_Tables_number 1
_cell_length_a 6.083
_cell_length_b 7.087
_cell_length_c 7.505
_cell_angle_alpha 84.81
_cell_angle_beta 87.61
_cell_angle_gamma 81.32
loop_
_symmetry_equiv_pos_as_xyz
'x,y,z'
loop_
_atom_site_label
_atom_site_type_symbol
_atom_site_fract_x
_atom_site_fract_y
_atom_site_fract_z
Sm1 Sm 0.000 0.000 0.000
Sm2 Sm 0.082 0.621 0.386
Sm3 Sm 0.463 0.355 0.793
Sm4 Sm 0.633 0.993 0.443
Co1 Co 0.021 0.967 0.611
Co2 Co 0.172 0.593 0.999
Co3 Co 0.223 0.226 0.491
Co4 Co 0.293 0.261 0.177
Co5 Co 0.389 0.750 0.691
Co6 Co 0.409 0.875 0.179
Co7 Co 0.549 0.957 0.876
Co8 Co 0.571 0.608 0.388
Co9 Co 0.693 0.318 0.189
Co10 Co 0.747 0.644 0.051
Co11 Co 0.811 0.337 0.520
Co12 Co 0.931 0.468 0.803
B1 B 0.047 0.224 0.707
B2 B 0.079 0.705 0.750
B3 B 0.179 0.010 0.343
B4 B 0.297 0.045 0.708
B5 B 0.437 0.722 0.959
B6 B 0.450 0.554 0.148
B7 B 0.465 0.363 0.389
B8 B 0.563 0.104 0.084
B9 B 0.705 0.602 0.620
B10 B 0.784 0.765 0.765
B11 B 0.984 0.393 0.085
B12 B 0.990 0.230 0.293
```

---

No. 3
Entry from the Alexandria database: a geometry-optimized GeTePd structure (GGA-PBE).

Calculated values
Uncorrected formation energy, meV/atom: -252

```
data_GeTePd
_chemical_formula_sum 'Ge1 Te1 Pd1'
_symmetry_space_group_name_H-M 'P 1'
_symmetry_Int_Tables_number 1
_cell_length_a 4.565
_cell_length_b 4.565
_cell_length_c 4.565
_cell_angle_alpha 60.00
_cell_angle_beta 60.00
_cell_angle_gamma 60.00
loop_
_symmetry_equiv_pos_as_xyz
'x,y,z'
loop_
_atom_site_label
_atom_site_type_symbol
_atom_site_fract_x
_atom_site_fract_y
_atom_site_fract_z
Ge1 Ge 0.000 0.000 0.000
Te1 Te 0.500 0.500 0.500
Pd1 Pd 0.750 0.750 0.750
```

---

No. 4
Entry from the Alexandria database: a geometry-optimized LiCd2Si2 structure (GGA-PBE).

Calculated values
Uncorrected formation energy, meV/atom: 304
Excess energy over the best structure of this formula in the dataset, meV per atom: 196.7

```
data_LiCd2Si2
_chemical_formula_sum 'Li2 Cd4 Si4'
_symmetry_space_group_name_H-M 'P 1'
_symmetry_Int_Tables_number 1
_cell_length_a 7.987
_cell_length_b 7.987
_cell_length_c 3.187
_cell_angle_alpha 90.00
_cell_angle_beta 90.00
_cell_angle_gamma 90.00
loop_
_symmetry_equiv_pos_as_xyz
'x,y,z'
loop_
_atom_site_label
_atom_site_type_symbol
_atom_site_fract_x
_atom_site_fract_y
_atom_site_fract_z
Li1 Li 0.000 0.000 0.000
Li2 Li 0.500 0.500 0.000
Cd1 Cd 0.138 0.362 0.000
Cd2 Cd 0.362 0.862 0.000
Cd3 Cd 0.638 0.138 0.000
Cd4 Cd 0.862 0.638 0.000
Si1 Si 0.162 0.662 0.500
Si2 Si 0.338 0.162 0.500
Si3 Si 0.662 0.838 0.500
Si4 Si 0.838 0.338 0.500
```

---

No. 5
Entry from the Alexandria database: a geometry-optimized Ba2NaLa structure (GGA-PBE).

Calculated values
Excess energy over the best structure of this formula in the dataset, meV per atom: 154.3

```
data_Ba2NaLa
_chemical_formula_sum 'Ba2 Na1 La1'
_symmetry_space_group_name_H-M 'P 1'
_symmetry_Int_Tables_number 1
_cell_length_a 14.498
_cell_length_b 14.498
_cell_length_c 14.498
_cell_angle_alpha 15.59
_cell_angle_beta 15.59
_cell_angle_gamma 15.59
loop_
_symmetry_equiv_pos_as_xyz
'x,y,z'
loop_
_atom_site_label
_atom_site_type_symbol
_atom_site_fract_x
_atom_site_fract_y
_atom_site_fract_z
Ba1 Ba 0.087 0.087 0.087
Ba2 Ba 0.913 0.913 0.913
Na1 Na 0.500 0.500 0.500
La1 La 0.000 0.000 0.000
```

---

No. 6
Entry from the Alexandria database: a geometry-optimized CaSb2Rh2 structure (GGA-PBE).

Calculated values
Uncorrected formation energy, meV/atom: -625

```
data_CaSb2Rh2
_chemical_formula_sum 'Ca1 Sb2 Rh2'
_symmetry_space_group_name_H-M 'P 1'
_symmetry_Int_Tables_number 1
_cell_length_a 6.367
_cell_length_b 6.367
_cell_length_c 6.367
_cell_angle_alpha 138.62
_cell_angle_beta 138.62
_cell_angle_gamma 59.95
loop_
_symmetry_equiv_pos_as_xyz
'x,y,z'
loop_
_atom_site_label
_atom_site_type_symbol
_atom_site_fract_x
_atom_site_fract_y
_atom_site_fract_z
Ca1 Ca 0.000 0.000 0.000
Sb1 Sb 0.369 0.369 0.000
Sb2 Sb 0.631 0.631 0.000
Rh1 Rh 0.250 0.750 0.500
Rh2 Rh 0.750 0.250 0.500
```

---

No. 7
Entry from the Alexandria database: a geometry-optimized TbEr3Tm3 structure (GGA-PBE).

Calculated values
Excess energy over the best structure of this formula in the dataset, meV per atom: 0.0

```
data_TbEr3Tm3
_chemical_formula_sum 'Tb2 Er6 Tm6'
_symmetry_space_group_name_H-M 'P 1'
_symmetry_Int_Tables_number 1
_cell_length_a 9.448
_cell_length_b 9.448
_cell_length_c 5.558
_cell_angle_alpha 90.00
_cell_angle_beta 90.00
_cell_angle_gamma 120.00
loop_
_symmetry_equiv_pos_as_xyz
'x,y,z'
loop_
_atom_site_label
_atom_site_type_symbol
_atom_site_fract_x
_atom_site_fract_y
_atom_site_fract_z
Tb1 Tb 0.333 0.667 0.250
Tb2 Tb 0.667 0.333 0.750
Er1 Er 0.048 0.810 0.250
Er2 Er 0.190 0.238 0.250
Er3 Er 0.238 0.048 0.750
Er4 Er 0.762 0.952 0.250
Er5 Er 0.810 0.762 0.750
Er6 Er 0.952 0.190 0.750
Tm1 Tm 0.095 0.619 0.750
Tm2 Tm 0.381 0.476 0.750
Tm3 Tm 0.476 0.095 0.250
Tm4 Tm 0.524 0.905 0.750
Tm5 Tm 0.619 0.524 0.250
Tm6 Tm 0.905 0.381 0.250
```